No. 1
# SrTiGeO5

A crystal of SrTiGeO5 relaxed with PBEsol (SCAN, Alexandria via LeMat-Bulk).

Values from the calculation:
Its space-group type is P2_1/c (14). Its formation energy from raw total energies is -2.858 eV per atom.

a b c (Å): 6.7948 7.2277 9.0606
angles (deg): 90.00 90.00 113.63
Fractional coordinates of all 32 atoms:
Sr 0.7477 0.2542 0.0784
Sr 0.7477 0.7542 0.4216
Sr 0.2523 0.7458 0.9216
Sr 0.2523 0.2458 0.5784
Ti 0.7504 0.0100 0.7519
Ti 0.7504 0.5100 0.7481
Ti 0.2496 0.4900 0.2519
Ti 0.2496 0.9900 0.2481
Ge 0.7512 0.2518 0.4363
Ge 0.2488 0.7482 0.5637
Ge 0.2488 0.2482 0.9363
Ge 0.7512 0.7518 0.0637
O 0.5558 0.5829 0.1834
O 0.3469 0.5998 0.4565
O 0.4442 0.9171 0.6834
O 0.9458 0.4169 0.3145
O 0.0542 0.0831 0.8145
O 0.7485 0.7503 0.6914
O 0.2515 0.7497 0.1914
O 0.6531 0.9002 0.9565
O 0.3469 0.0998 0.0435
O 0.4442 0.4171 0.8166
O 0.7485 0.2503 0.8086
O 0.8504 0.1055 0.5451
O 0.9458 0.9169 0.1855
O 0.1496 0.3945 0.0451
O 0.6531 0.4002 0.5435
O 0.2515 0.2497 0.3086
O 0.8504 0.6055 0.9549
O 0.0542 0.5831 0.6855
O 0.1496 0.8945 0.4549
O 0.5558 0.0829 0.3166


No. 2
# CaTeRh2Se

A crystal of CaTeRh2Se relaxed with PBEsol (SCAN, Alexandria via LeMat-Bulk).

Values from the calculation:
Its space-group type is P4/mmm (123). Its formation energy from raw total energies is 0.012 eV per atom.

a b c (Å): 4.7406 4.7406 5.5954
angles (deg): 90.00 90.00 90.00
Fractional coordinates of all 5 atoms:
Ca 0.5000 0.5000 0.5000
Te 0.0000 0.0000 0.0000
Rh 0.0000 0.5000 0.0000
Rh 0.5000 0.0000 0.0000
Se 0.0000 0.0000 0.5000


No. 3
# HoTiGe

A crystal of HoTiGe relaxed with PBEsol (SCAN, Alexandria via LeMat-Bulk).

Values from the calculation:
Its space-group type is P4/nmm (129). Its raw total energy is -28.82 eV/atom.

a b c (Å): 3.9903 3.9903 7.5389
angles (deg): 90.00 90.00 90.00
Last column: magnetic moment on the atom in μB.
Fractional coordinates of all 6 atoms:
Ge 0.5000 0.0000 0.2462  -0.01
Ge 0.0000 0.5000 0.7538  -0.01
Ho 0.0000 0.5000 0.3432  -0.24
Ho 0.5000 0.0000 0.6568  -0.24
Ti 0.5000 0.5000 0.0000  0.73
Ti 0.0000 0.0000 0.0000  0.73


Size of the total moment per entry: 0.00; 0.00; 0.49 μB per formula unit
Calculated volume per entry: 12.74; 25.15; 20.01 Å³ per atom